# 1
Entry from Alexandria: a relaxed structure of MgTl2CoAg (GGA-PBE).

Lattice parameters (Å, degrees): 5.3923 5.3923 5.1085 90.00 90.00 90.00
Last column: nearest neighbours and their distance in Å.
Space group P4/mmm (No. 123)
Asymmetric unit:
Mg1 0.0000 0.0000 0.0000 x1  2 Ag 2.55
Tl1 0.0000 0.5000 0.5000 x2  2 Ag 2.70
Co1 0.5000 0.5000 0.0000 x1  8 Tl 3.71, 4 Mg 3.81
Ag1 0.0000 0.0000 0.5000 x1  2 Mg 2.55, 4 Tl 2.70

Properties
* density: 6.7 Mg/m³
* DFT total energy: -2.36 eV per atom


# 2
Entry from Alexandria: a relaxed structure of TmMgCoAg (GGA-PBE).

Lattice parameters (Å, degrees): 6.6576 6.6576 6.6576 90.00 90.00 90.00
Last column: nearest neighbours and their distance in Å.
Space group F-43m (No. 216)
Asymmetric unit:
Tm1 0.0000 0.0000 0.0000 x4  4 Ag 2.88, 4 Co 2.88
Mg1 0.0000 0.0000 0.5000 x4  4 Co 2.88, 4 Ag 2.88
Co1 0.2500 0.2500 0.2500 x4  4 Mg 2.88, 4 Tm 2.88
Ag1 0.2500 0.2500 0.7500 x4  4 Mg 2.88, 4 Tm 2.88

Properties
* density: 8.1 Mg/m³
* DFT total energy: -4.09 eV per atom


# 3
Entry from Alexandria: a relaxed structure of Mg2Zn5Co2Ag (GGA-PBE).

Lattice parameters (Å, degrees): 8.8960 8.8960 3.8740 90.00 90.00 90.00
Last column: nearest neighbours and their distance in Å.
Space group P4/mbm (No. 127)
Asymmetric unit:
Mg1 0.1737 0.3263 0.0000 x4  3 Co 2.62-2.64, 2 Zn 2.92
Zn1 0.0000 0.5000 0.5000 x2  4 Co 2.44, 4 Zn 2.67
Zn2 0.0740 0.7906 0.5000 x8  2 Co 2.50, 4 Zn 2.67-2.79, 2 Ag 2.77
Co1 0.1184 0.6184 0.0000 x4  6 Zn 2.44-2.50, 3 Mg 2.62-2.64
Ag1 0.0000 0.0000 0.0000 x2  8 Zn 2.77

Properties
* density: 6.5 Mg/m³
* DFT total energy: -2.71 eV per atom


# 4
Entry from Alexandria: a relaxed structure of MgZrCoAg (GGA-PBE).

Lattice parameters (Å, degrees): 6.5092 6.5092 6.5092 90.00 90.00 90.00
Last column: nearest neighbours and their distance in Å.
Space group F-43m (No. 216)
Asymmetric unit:
Mg1 0.0000 0.0000 0.0000 x4  4 Ag 2.82, 4 Co 2.82
Zr1 0.0000 0.0000 0.5000 x4  4 Co 2.82, 4 Ag 2.82
Co1 0.2500 0.2500 0.2500 x4  4 Zr 2.82, 4 Mg 2.82
Ag1 0.2500 0.2500 0.7500 x4  4 Zr 2.82, 4 Mg 2.82

Properties
* density: 6.8 Mg/m³
* DFT total energy: -5.07 eV per atom


# 5
Entry from Alexandria: a relaxed structure of MnCo2Ag (GGA-PBE).

Lattice parameters (Å, degrees): 5.9704 5.9704 5.9704 90.00 90.00 90.00
Last column: nearest neighbours and their distance in Å.
Space group Fm-3m (No. 225)
Asymmetric unit:
Mn1 0.0000 0.0000 0.0000 x4  8 Co 2.59
Co1 0.2500 0.2500 0.2500 x8  4 Mn 2.59, 4 Ag 2.59
Ag1 0.0000 0.0000 0.5000 x4  8 Co 2.59

Properties
* distance to the lowest polymorph of the same formula: 0.193 eV per atom
* density: 8.8 Mg/m³


# 6
Entry from Alexandria: a relaxed structure of MnCo2Ag (GGA-PBE).

Lattice parameters (Å, degrees): 3.7389 3.7389 7.6684 90.00 90.00 90.00
Last column: nearest neighbours and their distance in Å.
Space group I4/mmm (No. 139)
Asymmetric unit:
Mn1 0.0000 0.0000 0.0000 x2  4 Ag 2.64, 8 Co 2.68
Co1 0.0000 0.5000 0.2500 x4  4 Co 2.64, 4 Mn 2.68, 4 Ag 2.68
Ag1 0.0000 0.0000 0.5000 x2  4 Mn 2.64, 8 Co 2.68

Properties
* distance to the lowest polymorph of the same formula: 0.166 eV per atom
* density: 8.7 Mg/m³


Table of total magnetic moment (μB per atom), in record order: 0.393; 0.038; 0.000; 0.111; 1.564; 1.704